(1)
First-principles (PBE) data for an optimized crystal structure of LaPr12Y5, as listed in Alexandria via LeMat-Bulk.

```
18
Lattice="15.574 -0.006 -0.003 7.784 7.812 -0.002 0.001 0.000 5.212" Properties=species:S:1:pos:R:3 pbc="T T T"
Pr 5.193 5.198 0.000
Pr 18.166 2.608 5.207
Pr 5.215 2.599 2.604
Pr 13.001 5.212 2.602
Pr 5.221 -0.001 5.210
Pr 10.378 5.194 5.209
Pr 18.145 5.208 2.603
Pr 12.969 -0.004 2.604
Pr 18.139 7.808 -0.003
Pr 10.359 2.594 2.604
Pr 12.981 2.612 -0.002
Pr 10.391 7.810 2.603
La 0.000 0.000 0.000
Y 7.786 2.604 -0.002
Y 7.788 -0.003 2.604
Y 15.574 5.202 5.208
Y 7.785 5.184 2.604
Y 15.574 2.622 2.603
```

Calculated values
Volume   634.37 Å³ per cell
Space group   Cmmm, No. 65
E_form   17.7 meV/atom
Energy   -94.3 eV/cell
Density of states at the Fermi level   29.66 states/eV/f.u.

***

(2)
First-principles (PBE) data for an optimized crystal structure of TbNdInSn, as listed in Alexandria via LeMat-Bulk.

```
4
Lattice="5.423 0.000 0.000 2.711 4.696 0.000 2.711 1.565 4.428" Properties=species:S:1:pos:R:3 pbc="T T T"
Sn 2.711 1.565 1.107
In 8.134 4.696 3.321
Nd 0.000 0.000 0.000
Tb 5.423 3.131 2.214
```

Calculated values
Volume   112.77 Å³ per cell
Space group   F-43m, No. 216
E_form   -523.1 meV/atom
Energy   -18.2 eV/cell
Density of states at the Fermi level   3.27 states/eV/f.u.
Excess energy over the best structure of this formula in the dataset   0.102 eV per atom

***

(3)
First-principles (PBE) data for an optimized crystal structure of Ca2Pd9Pb, as listed in Alexandria via LeMat-Bulk.

```
12
Lattice="4.128 0.000 0.000 0.000 4.128 0.000 0.000 0.000 12.328" Properties=species:S:1:pos:R:3 pbc="T T T"
Pd 2.064 0.000 10.326
Pd 2.064 0.000 6.164
Pd 0.000 2.064 6.164
Pd 0.000 2.064 10.326
Pd 0.000 2.064 2.001
Pd 2.064 2.064 8.239
Pd 2.064 0.000 2.001
Pd 2.064 2.064 0.000
Pd 2.064 2.064 4.088
Ca 0.000 0.000 8.228
Ca 0.000 0.000 4.099
Pb 0.000 0.000 0.000
```

Calculated values
Volume   210.07 Å³ per cell
Space group   P4/mmm, No. 123
E_form   -427.9 meV/atom
Energy   -59.6 eV/cell
Density of states at the Fermi level   10.44 states/eV/f.u.

***

(4)
First-principles (PBE) data for an optimized crystal structure of CeTlAg4, as listed in Alexandria via LeMat-Bulk.

```
6
Lattice="5.691 0.000 0.000 2.846 4.929 0.000 2.846 1.643 4.647" Properties=species:S:1:pos:R:3 pbc="T T T"
Ag 5.691 3.286 0.578
Ag 5.691 1.640 2.905
Ag 4.266 4.108 2.905
Ag 7.116 4.108 2.905
Ce 2.846 1.643 1.162
Tl 0.000 0.000 0.000
```

Calculated values
Volume   130.34 Å³ per cell
Space group   F-43m, No. 216
E_form   -118.3 meV/atom
Energy   -20.4 eV/cell
Density of states at the Fermi level   7.37 states/eV/f.u.

***

(5)
First-principles (PBE) data for an optimized crystal structure of KMnCl3, as listed in Alexandria via LeMat-Bulk.

```
20
Lattice="0.000 6.213 6.213 6.213 0.000 6.213 6.213 6.213 0.000" Properties=species:S:1:pos:R:3 pbc="T T T"
K 1.553 1.553 1.553
K 1.553 4.660 4.660
K 4.660 4.660 1.553
K 4.660 1.553 4.660
Cl 6.213 6.213 8.631
Cl 9.320 6.902 9.320
Cl 11.738 9.320 9.320
Cl 6.902 9.320 9.320
Cl 6.213 6.213 3.795
Cl 9.320 9.320 11.738
Cl 9.320 9.320 6.902
Cl 6.213 3.795 6.213
Cl 3.795 6.213 6.213
Cl 8.631 6.213 6.213
Cl 6.213 8.631 6.213
Cl 9.320 11.738 9.320
Mn 4.660 7.766 4.660
Mn 4.660 4.660 7.766
Mn 7.766 7.766 7.766
Mn 7.766 4.660 4.660
```

Calculated values
Volume   479.69 Å³ per cell
Space group   Fd-3m, No. 227
Energy   -81.4 eV/cell
Density of states at the Fermi level   7.81 states/eV/f.u.
Raw formation energy   -0.907 eV/atom

***

(6)
First-principles (PBE) data for an optimized crystal structure of ScPaGa2, as listed in Alexandria via LeMat-Bulk.

```
4
Lattice="-0.998 -2.459 1.808 0.123 -1.933 -2.561 7.455 -1.777 1.699" Properties=species:S:1:pos:R:3 pbc="T T T"
Ga 1.741 -0.415 0.397
Ga 5.714 -1.362 1.302
Sc -0.438 -2.196 -0.376
Pa 3.290 -3.085 0.473
```

Calculated values
Volume   80.96 Å³ per cell
Space group   P4/mmm, No. 123
E_form   -425.4 meV/atom
Energy   -23.6 eV/cell
Density of states at the Fermi level   4.72 states/eV/f.u.
Excess energy over the best structure of this formula in the dataset   0.000 eV per atom

***

(7)
First-principles (PBE) data for an optimized crystal structure of K2MnTl, as listed in Alexandria via LeMat-Bulk.

```
4
Lattice="3.677 0.000 0.000 0.000 3.677 0.000 0.000 0.000 10.875" Properties=species:S:1:pos:R:3 pbc="T T T"
K 0.000 0.000 0.053
K 0.000 0.000 5.385
Mn 1.839 1.839 2.719
Tl 1.839 1.839 8.157
```

Calculated values
Volume   147.06 Å³ per cell
Space group   P4/mmm, No. 123
E_form   599.9 meV/atom
Energy   -11.3 eV/cell
Density of states at the Fermi level   4.76 states/eV/f.u.
Excess energy over the best structure of this formula in the dataset   0.259 eV per atom

***

(8)
First-principles (PBE) data for an optimized crystal structure of BaAs2PbBr, as listed in Alexandria via LeMat-Bulk.

```
5
Lattice="5.832 0.000 0.000 0.000 5.832 0.000 0.000 0.000 5.976" Properties=species:S:1:pos:R:3 pbc="T T T"
As 0.000 2.916 0.000
As 2.916 0.000 0.000
Ba 0.000 0.000 0.000
Br 0.000 0.000 2.988
Pb 2.916 2.916 2.988
```

Calculated values
Volume   203.30 Å³ per cell
Space group   P4/mmm, No. 123
Energy   -14.9 eV/cell
Density of states at the Fermi level   6.05 states/eV/f.u.
Raw formation energy   0.332 eV/atom
Excess energy over the best structure of this formula in the dataset   0.645 eV per atom

***

(9)
First-principles (PBE) data for an optimized crystal structure of LiSc6Al5, as listed in Alexandria via LeMat-Bulk.

```
12
Lattice="4.563 -0.027 1.521 0.036 6.735 0.012 -0.001 -0.014 7.608" Properties=species:S:1:pos:R:3 pbc="T T T"
Al 1.540 -0.014 2.985
Al 3.060 3.340 6.089
Al 0.018 3.368 0.006
Al 1.538 3.354 3.052
Al 3.022 -0.027 6.144
Sc 2.290 1.663 0.763
Sc 2.308 5.045 0.769
Sc 3.830 5.041 3.810
Sc 0.768 1.653 5.331
Sc 3.812 1.639 3.804
Sc 0.786 5.055 5.337
Li 0.000 0.000 0.000
```

Calculated values
Volume   233.82 Å³ per cell
Space group   Cmmm, No. 65
E_form   -397.7 meV/atom
Energy   -63.4 eV/cell
Density of states at the Fermi level   7.43 states/eV/f.u.

***

(10)
First-principles (PBE) data for an optimized crystal structure of CaPrHgPt, as listed in Alexandria via LeMat-Bulk.

```
4
Lattice="-1.916 -3.339 1.369 0.274 -1.779 -3.956 6.232 -0.760 0.773" Properties=species:S:1:pos:R:3 pbc="T T T"
Ca 1.598 -0.736 0.442
Pr 2.991 -4.314 -0.240
Pt 4.287 -1.975 1.185
Hg 0.030 -2.951 -1.058
```

Calculated values
Volume   106.29 Å³ per cell
Space group   Amm2, No. 38
E_form   -761.1 meV/atom
Energy   -16.2 eV/cell
Density of states at the Fermi level   2.20 states/eV/f.u.
Excess energy over the best structure of this formula in the dataset   0.000 eV per atom

***

(11)
First-principles (PBE) data for an optimized crystal structure of Zr2NiBiW, as listed in Alexandria via LeMat-Bulk.

```
5
Lattice="4.846 0.000 0.000 0.000 4.641 0.000 0.000 0.000 4.846" Properties=species:S:1:pos:R:3 pbc="T T T"
Zr 0.000 0.000 2.423
Zr 2.423 0.000 0.000
Ni 0.000 0.000 0.000
W 2.423 2.320 2.423
Bi 0.000 2.320 0.000
```

Calculated values
Volume   108.99 Å³ per cell
Space group   P4/mmm, No. 123
E_form   818.1 meV/atom
Energy   -35.6 eV/cell
Density of states at the Fermi level   4.93 states/eV/f.u.

***

(12)
First-principles (PBE) data for an optimized crystal structure of Ac3Th2PaP6, as listed in Alexandria via LeMat-Bulk.

```
12
Lattice="7.327 -0.002 0.000 -3.663 6.345 0.000 -1.222 -2.115 7.006" Properties=species:S:1:pos:R:3 pbc="T T T"
P 0.072 4.229 5.440
P -1.185 2.052 1.567
P 2.370 -0.001 1.567
P 3.627 2.176 5.440
P 2.480 4.294 1.573
P -0.038 -0.066 5.433
Pa 0.000 0.000 0.000
Ac -2.423 4.219 3.503
Ac 4.865 0.009 3.503
Ac 1.221 2.114 3.503
Th 3.659 2.116 0.000
Th 0.004 4.227 0.000
```

Calculated values
Volume   325.66 Å³ per cell
Space group   C2/m, No. 12
E_form   -1450.0 meV/atom
Energy   -86.5 eV/cell
Density of states at the Fermi level   7.84 states/eV/f.u.

***

no.,theoretical density (g/cm3)
1,6.0
2,7.9
3,9.8
4,9.9
5,2.8
6,8.5
7,3.8
8,4.7
9,2.9
10,9.0
11,9.7
12,8.0